Compound: Th3Ti5H12
Source: Alexandria via LeMat-Bulk
Functional: PBE-GGA
Structure: relaxed

```
80
Lattice="-6.072 6.072 6.072 6.072 -6.072 6.072 6.072 6.072 -6.072" Properties=species:S:1:pos:R:3 pbc="T T T"
Th 3.036 1.518 0.000
Th 6.072 3.036 -1.518
Th 1.518 0.000 3.036
Th 7.590 0.000 3.036
Th 0.000 3.036 1.518
Th 3.036 -1.518 6.072
Th 3.036 7.590 0.000
Th 6.072 3.036 4.554
Th -1.518 6.072 3.036
Th 4.554 6.072 3.036
Th 0.000 3.036 7.590
Th 3.036 4.554 6.072
Ti 0.000 0.000 0.000
Ti 3.036 3.036 -3.036
Ti 3.036 -3.036 3.036
Ti 6.072 0.000 0.000
Ti 9.108 1.518 0.000
Ti 6.072 -3.036 4.554
Ti 4.554 6.072 -3.036
Ti 4.554 0.000 3.036
Ti 3.036 4.554 0.000
Ti 6.072 3.036 1.518
Ti -3.036 3.036 3.036
Ti 0.000 6.072 0.000
Ti 0.000 0.000 6.072
Ti 3.036 3.036 3.036
Ti 0.000 3.036 4.554
Ti 3.036 1.518 6.072
Ti 1.518 6.072 3.036
Ti 1.518 0.000 9.108
Ti 0.000 9.108 1.518
Ti -3.036 4.554 6.072
H 1.745 -0.303 0.720
H 7.363 3.756 -3.339
H 5.769 -0.720 1.745
H 7.818 0.303 0.720
H 7.363 -2.316 3.339
H 9.412 -1.291 2.316
H 0.720 1.745 -0.303
H 8.389 2.733 -1.291
H 3.756 3.339 -1.291
H 5.353 1.745 0.303
H -0.303 0.720 1.745
H 3.339 -1.291 3.756
H 5.769 5.353 -1.745
H 3.339 1.291 2.316
H 3.756 -3.339 7.363
H 5.353 -1.745 5.769
H 2.316 3.339 1.291
H 6.792 4.327 0.303
H 1.745 5.769 -0.720
H 3.339 7.363 -2.316
H 5.769 0.720 4.327
H 7.363 2.316 2.733
H 1.291 2.316 3.339
H 1.745 0.303 5.353
H 4.327 5.769 0.720
H 4.782 3.756 2.733
H -1.291 3.756 3.339
H 0.303 5.353 1.745
H 2.733 -1.291 8.389
H 4.327 0.303 6.792
H -0.720 1.745 5.769
H 3.756 2.733 4.782
H 0.720 7.818 0.303
H 2.316 9.412 -1.291
H 2.733 4.782 3.756
H 0.303 0.720 7.818
H 2.733 7.363 2.316
H 6.376 5.353 4.327
H 0.720 4.327 5.769
H 2.316 2.733 7.363
H -2.316 3.339 7.363
H 5.353 4.327 6.376
H -3.339 7.363 3.756
H -1.291 8.389 2.733
H -1.745 5.769 5.353
H 0.303 6.792 4.327
H -1.291 2.316 9.412
H 4.327 6.376 5.353
```

Properties
**Space group**: Ia-3d
**Calculated total energy**: -5.419 eV/atom



Compound: NbZnCl6
Source: Alexandria via LeMat-Bulk
Functional: PBE-GGA
Structure: relaxed

```
8
Lattice="3.132 1.808 5.628 -3.132 1.808 5.628 0.000 -3.616 5.628" Properties=species:S:1:pos:R:3 pbc="T T T"
Nb 0.000 0.000 0.000
Zn 0.000 0.000 8.442
Cl -0.928 -1.852 7.027
Cl -2.068 -0.122 9.858
Cl -1.140 1.730 7.027
Cl 1.140 -1.730 9.858
Cl 2.068 0.122 7.027
Cl 0.928 1.852 9.858
```

Properties
**Space group**: R-3
**Calculated total energy**: -3.878 eV/atom



Compound: AcPmPdPt
Source: Alexandria via LeMat-Bulk
Functional: PBE-GGA
Structure: relaxed

```
4
Lattice="4.630 0.000 0.000 0.000 2.007 5.609 0.000 -2.007 5.609" Properties=species:S:1:pos:R:3 pbc="T T T"
Ac 0.000 0.000 0.000
Pm 2.315 0.000 8.180
Pd 2.315 0.000 5.020
Pt 0.000 0.000 3.066
```

Properties
**Space group**: Amm2
**Energy relative to the elements**: -0.98 eV per atom